{
  "formula": "SbIrPb2",
  "functional": "GGA-PBE",
  "state": "optimized geometry",
  "raw_formation_energy_ev_per_atom": 0.259,
  "space_group": "P2/m, No. 10",
  "lattice": [[-2.215, -2.271, 0.995], [1.779, -0.547, 2.712], [-2.922, 5.984, 7.149]],
  "species": ["Pb", "Pb", "Ir", "Sb"],
  "fractional_positions": [[0.000, 0.053, 0.947], [0.000, 0.447, 0.553], [0.500, 0.750, 0.750], [0.500, 0.250, 0.250]]
}

{
  "formula": "CaSc2Al",
  "functional": "GGA-PBE",
  "state": "optimized geometry",
  "formation_energy_ev_per_atom": -0.030,
  "space_group": "Imm2, No. 44",
  "lattice": [[6.207, -0.002, 0.011], [3.093, 5.381, -0.011], [-4.183, -3.496, 2.966]],
  "species": ["Al", "Sc", "Sc", "Ca"],
  "fractional_positions": [[0.511, 0.511, 0.000], [0.994, 0.994, 0.000], [0.719, 0.219, 0.500], [0.276, 0.776, 0.500]]
}

| no. | VASP energy (eV per atom) |
| --- | --- |
| 1 | -4.84 |
| 2 | -4.63 |